{
  "formula": "InTc2Os",
  "functional": "GGA-PBE",
  "state": "relaxed",
  "lattice": [[4.704, -1.440, 0.000], [4.704, 1.440, 0.000], [-1.069, 0.000, 4.724]],
  "species": ["In", "Tc", "Tc", "Os"],
  "frac_coords": [[0.000, 0.000, 0.000], [0.236, 0.236, 0.749], [0.502, 0.502, 0.493], [0.765, 0.765, 0.309]],
  "formation_enthalpy_0k_ev_per_atom": 0.321,
  "dft_energy_ev_per_atom": -8.354,
  "crystal_system": "monoclinic"
}